Density functional theory data (GGA-PBE) for crystalline ReAgIr2 at its relaxed geometry.

Cell lengths 4.4360, 4.4360, 4.4360 Å; angles 60.00, 60.00, 60.00 degrees
Closest atoms and distances in Å follow each position.
Atoms (fractional coordinates):
Re (0.0000, 0.0000, 0.0000)  4 Ag 2.72, 4 Ir 2.72
Ag (0.7500, 0.7500, 0.7500)  4 Re 2.72, 4 Ir 2.72
Ir (0.2500, 0.2500, 0.2500)  4 Re 2.72, 4 Ir 2.72
Ir (0.5000, 0.5000, 0.5000)  4 Ir 2.72, 4 Ag 2.72

Symmetry: F-43m
Energy relative to the elements: 0.699 eV per atom
Relative energy among the computed polymorphs: 666.1 meV per atom

Density functional theory data (GGA-PBE) for crystalline Cu2SbAs at its relaxed geometry.

Cell lengths 6.3020, 6.3020, 6.3020 Å; angles 121.21, 121.21, 87.92 degrees
Closest atoms and distances in Å follow each position.
Atoms (fractional coordinates):
Cu (0.0955, 0.6250, 0.9705)  2 As 2.35, 2 Sb 2.58
Cu (0.3750, 0.3455, 0.4705)  2 As 2.35, 2 Sb 2.58
Cu (0.6545, 0.1250, 0.0295)  2 As 2.35, 2 Sb 2.58
Cu (0.8750, 0.9045, 0.5295)  2 As 2.35, 2 Sb 2.58
Sb (0.2500, 0.7500, 0.5000)  4 Cu 2.58
Sb (0.5000, 0.5000, 0.0000)  4 Cu 2.58
As (0.0000, 0.0000, 0.0000)  4 Cu 2.35
As (0.7500, 0.2500, 0.5000)  4 Cu 2.35

Symmetry: I-42d
Relative energy among the computed polymorphs: 212.7 meV per atom
Formation energy (no corrections): 1.15 eV per formula unit

Density functional theory data (GGA-PBE) for crystalline Ac5In2Os at its relaxed geometry.

Cell lengths 8.8845, 13.1741, 4.9657 Å; angles 90.00, 90.00, 90.00 degrees
Closest atoms and distances in Å follow each position.
Atoms (fractional coordinates):
Ac (0.0000, 0.0000, 0.0000)  4 In 3.39
Ac (0.1407, 0.3006, 0.0000)  1 Os 2.91
Ac (0.1803, 0.5686, 0.5000)  2 Os 3.09
Ac (0.3197, 0.0686, 0.5000)  2 Os 3.09
Ac (0.3593, 0.8006, 0.0000)  1 Os 2.91
Ac (0.5000, 0.5000, 0.0000)  4 In 3.39
Ac (0.6407, 0.1994, 0.0000)  1 Os 2.91
Ac (0.6803, 0.9314, 0.5000)  2 Os 3.09
Ac (0.8197, 0.4314, 0.5000)  2 Os 3.09
Ac (0.8593, 0.6994, 0.0000)  1 Os 2.91
In (0.0715, 0.8310, 0.5000)  8 Ac 3.39-3.72
In (0.4285, 0.3310, 0.5000)  8 Ac 3.39-3.72
In (0.5715, 0.6690, 0.5000)  8 Ac 3.39-3.72
In (0.9285, 0.1690, 0.5000)  8 Ac 3.39-3.72
Os (0.0000, 0.5000, 0.0000)  6 Ac 2.91-3.09
Os (0.5000, 0.0000, 0.0000)  6 Ac 2.91-3.09

Symmetry: Pbam
Energy relative to the elements: -0.253 eV per atom

Number 1: N(E_F) 5.8 states/eV/cell, energy -7.556 eV per atom. Number 2: N(E_F) 4.0 states/eV/cell, energy -3.954 eV per atom. Number 3: N(E_F) 17.2 states/eV/cell, energy -4.909 eV per atom.